one:
Here is a geometry-optimized Tb5DyY structure from the Alexandria database. Energies are from PBE.

Total magnetic moment (μB per cell): 0.00

a = 7.932 Å, b = 7.932 Å, c = 7.932 Å
α = 137.09°, β = 113.92°, γ = 82.08°
Fractional coordinates of all 7 atoms:
Tb (0.000, 0.000, 0.000)
Tb (0.245, 0.745, 0.500)
Tb (0.322, 0.500, 0.822)
Tb (0.678, 0.500, 0.178)
Tb (0.755, 0.255, 0.500)
Dy (0.000, 0.500, 0.500)
Y (0.500, 0.000, 0.500)

two:
Here is a geometry-optimized Tb5DyY structure from the Alexandria database. Energies are from PBE.

Total magnetic moment (μB per cell): 0.00

a = 6.764 Å, b = 6.764 Å, c = 12.229 Å
α = 107.68°, β = 107.68°, γ = 59.73°
Fractional coordinates of all 14 atoms:
Tb (0.083, 0.355, 0.746)
Tb (0.083, 0.917, 0.750)
Tb (0.158, 0.684, 0.999)
Tb (0.316, 0.842, 0.501)
Tb (0.355, 0.083, 0.246)
Tb (0.645, 0.917, 0.754)
Tb (0.684, 0.158, 0.499)
Tb (0.842, 0.316, 0.001)
Tb (0.917, 0.083, 0.250)
Tb (0.917, 0.645, 0.254)
Dy (0.473, 0.527, 0.250)
Dy (0.527, 0.473, 0.750)
Y (0.000, 0.500, 0.500)
Y (0.500, 0.000, 0.000)

Which of them is the most stable? Correct choice: two.

one:
Here is a geometry-optimized TbDyZn structure from the Alexandria database. Energies are from PBE.

Total magnetic moment (μB per cell): 0.01

a = 6.587 Å, b = 6.587 Å, c = 6.587 Å
α = 148.43°, β = 148.43°, γ = 45.25°
Fractional coordinates of all 3 atoms:
Tb (0.000, 0.000, 0.000)
Dy (0.712, 0.712, 0.000)
Zn (0.354, 0.354, 0.000)

two:
Here is a geometry-optimized TbDyZn structure from the Alexandria database. Energies are from PBE.

Total magnetic moment (μB per cell): 0.00

a = 4.990 Å, b = 4.990 Å, c = 3.647 Å
α = 90.00°, β = 90.00°, γ = 120.00°
Fractional coordinates of all 3 atoms:
Tb (0.000, 0.000, 0.000)
Dy (0.333, 0.667, 0.541)
Zn (0.667, 0.333, 0.281)

three:
Here is a geometry-optimized TbDyZn structure from the Alexandria database. Energies are from PBE.

Total magnetic moment (μB per cell): 0.00

a = 4.950 Å, b = 4.950 Å, c = 4.950 Å
α = 119.93°, β = 119.93°, γ = 90.12°
Fractional coordinates of all 3 atoms:
Tb (0.000, 0.000, 0.000)
Dy (0.500, 0.500, 0.000)
Zn (0.750, 0.250, 0.500)

Which of them is the most stable? Correct choice: one.

one:
Here is a geometry-optimized TbDy6Zn2 structure from the Alexandria database. Energies are from PBE.

Total magnetic moment (μB per cell): 0.00

a = 6.474 Å, b = 6.474 Å, c = 11.733 Å
α = 108.43°, β = 108.43°, γ = 32.46°
Fractional coordinates of all 9 atoms:
Tb (0.000, 0.000, 0.000)
Dy (0.024, 0.024, 0.330)
Dy (0.310, 0.310, 0.125)
Dy (0.313, 0.313, 0.411)
Dy (0.687, 0.687, 0.589)
Dy (0.690, 0.690, 0.875)
Dy (0.976, 0.976, 0.670)
Zn (0.352, 0.352, 0.795)
Zn (0.648, 0.648, 0.205)

two:
Here is a geometry-optimized TbDy6Zn2 structure from the Alexandria database. Energies are from PBE.

Total magnetic moment (μB per cell): 0.00

a = 13.025 Å, b = 13.025 Å, c = 13.025 Å
α = 158.79°, β = 158.79°, γ = 30.17°
Fractional coordinates of all 9 atoms:
Tb (0.000, 0.000, 0.000)
Dy (0.108, 0.608, 0.500)
Dy (0.250, 0.750, 0.500)
Dy (0.392, 0.892, 0.500)
Dy (0.608, 0.108, 0.500)
Dy (0.750, 0.250, 0.500)
Dy (0.892, 0.392, 0.500)
Zn (0.322, 0.322, 0.000)
Zn (0.678, 0.678, 0.000)

Which of them is the most stable? Correct choice: one.

one:
Here is a geometry-optimized Tb2Dy2Zn structure from the Alexandria database. Energies are from PBE.

Total magnetic moment (μB per cell): 0.00

a = 11.431 Å, b = 11.431 Å, c = 11.431 Å
α = 162.10°, β = 162.10°, γ = 25.42°
Fractional coordinates of all 5 atoms:
Tb (0.194, 0.194, 0.000)
Tb (0.806, 0.806, 0.000)
Dy (0.421, 0.421, 0.000)
Dy (0.579, 0.579, 0.000)
Zn (0.000, 0.000, 0.000)

two:
Here is a geometry-optimized Tb2Dy2Zn structure from the Alexandria database. Energies are from PBE.

Total magnetic moment (μB per cell): 0.00

a = 12.668 Å, b = 12.668 Å, c = 12.668 Å
α = 157.43°, β = 157.43°, γ = 32.13°
Fractional coordinates of all 10 atoms:
Tb (0.056, 0.306, 0.750)
Tb (0.306, 0.056, 0.250)
Tb (0.694, 0.944, 0.750)
Tb (0.944, 0.694, 0.250)
Dy (0.200, 0.450, 0.750)
Dy (0.450, 0.200, 0.250)
Dy (0.550, 0.800, 0.750)
Dy (0.800, 0.550, 0.250)
Zn (0.375, 0.625, 0.750)
Zn (0.625, 0.375, 0.250)

Which of them is the most stable? Correct choice: one.

one:
Here is a geometry-optimized TbDy3Zn structure from the Alexandria database. Energies are from PBE.

Total magnetic moment (μB per cell): 0.00

a = 14.602 Å, b = 14.602 Å, c = 5.377 Å
α = 90.37°, β = 90.37°, γ = 14.27°
Fractional coordinates of all 10 atoms:
Tb (0.232, 0.232, 0.249)
Tb (0.768, 0.768, 0.751)
Dy (0.158, 0.158, 0.747)
Dy (0.377, 0.377, 0.755)
Dy (0.455, 0.455, 0.262)
Dy (0.545, 0.545, 0.738)
Dy (0.623, 0.623, 0.245)
Dy (0.842, 0.842, 0.253)
Zn (0.039, 0.039, 0.226)
Zn (0.961, 0.961, 0.774)

two:
Here is a geometry-optimized TbDy3Zn structure from the Alexandria database. Energies are from PBE.

Total magnetic moment (μB per cell): 0.00

a = 7.097 Å, b = 7.097 Å, c = 7.704 Å
α = 116.95°, β = 116.95°, γ = 72.51°
Fractional coordinates of all 10 atoms:
Tb (0.081, 0.081, 0.270)
Tb (0.919, 0.919, 0.730)
Dy (0.015, 0.610, 0.289)
Dy (0.390, 0.985, 0.711)
Dy (0.453, 0.453, 0.691)
Dy (0.547, 0.547, 0.309)
Dy (0.610, 0.015, 0.289)
Dy (0.985, 0.390, 0.711)
Zn (0.233, 0.233, 0.062)
Zn (0.767, 0.767, 0.938)

Which of them is the most stable? Correct choice: one.

one:
Here is a geometry-optimized TbDyZn4 structure from the Alexandria database. Energies are from PBE.

Total magnetic moment (μB per cell): 0.00

a = 3.744 Å, b = 3.808 Å, c = 9.733 Å
α = 89.80°, β = 89.90°, γ = 89.99°
Fractional coordinates of all 6 atoms:
Tb (0.000, 0.000, 0.000)
Dy (0.500, 0.500, 0.500)
Zn (0.000, 0.500, 0.250)
Zn (0.000, 0.500, 0.750)
Zn (0.500, 0.000, 0.252)
Zn (0.500, 0.000, 0.748)

two:
Here is a geometry-optimized TbDyZn4 structure from the Alexandria database. Energies are from PBE.

Total magnetic moment (μB per cell): 0.00

a = 5.464 Å, b = 5.464 Å, c = 5.464 Å
α = 60.00°, β = 60.00°, γ = 60.00°
Fractional coordinates of all 6 atoms:
Tb (0.000, 0.000, 0.000)
Dy (0.250, 0.250, 0.250)
Zn (0.125, 0.625, 0.625)
Zn (0.625, 0.125, 0.625)
Zn (0.625, 0.625, 0.125)
Zn (0.625, 0.625, 0.625)

three:
Here is a geometry-optimized TbDyZn4 structure from the Alexandria database. Energies are from PBE.

Total magnetic moment (μB per cell): 0.00

a = 5.687 Å, b = 5.687 Å, c = 5.687 Å
α = 133.44°, β = 103.98°, γ = 94.06°
Fractional coordinates of all 6 atoms:
Tb (0.000, 0.000, 0.000)
Dy (0.500, 0.000, 0.500)
Zn (0.084, 0.333, 0.750)
Zn (0.417, 0.667, 0.750)
Zn (0.583, 0.333, 0.250)
Zn (0.916, 0.667, 0.250)

Which of them is the most stable? Correct choice: three.

one:
Here is a geometry-optimized Tb3DyZn structure from the Alexandria database. Energies are from PBE.

Total magnetic moment (μB per cell): 0.00

a = 7.082 Å, b = 7.082 Å, c = 7.716 Å
α = 116.40°, β = 116.40°, γ = 72.46°
Fractional coordinates of all 10 atoms:
Tb (0.046, 0.046, 0.305)
Tb (0.111, 0.518, 0.293)
Tb (0.482, 0.889, 0.707)
Tb (0.518, 0.111, 0.293)
Tb (0.889, 0.482, 0.707)
Tb (0.954, 0.954, 0.695)
Dy (0.419, 0.419, 0.732)
Dy (0.581, 0.581, 0.268)
Zn (0.269, 0.269, 0.944)
Zn (0.731, 0.731, 0.056)

two:
Here is a geometry-optimized Tb3DyZn structure from the Alexandria database. Energies are from PBE.

Total magnetic moment (μB per cell): 0.00

a = 14.655 Å, b = 14.655 Å, c = 5.384 Å
α = 90.13°, β = 90.13°, γ = 14.26°
Fractional coordinates of all 10 atoms:
Tb (0.045, 0.045, 0.246)
Tb (0.124, 0.124, 0.748)
Tb (0.341, 0.341, 0.752)
Tb (0.659, 0.659, 0.248)
Tb (0.876, 0.876, 0.252)
Tb (0.955, 0.955, 0.754)
Dy (0.268, 0.268, 0.250)
Dy (0.732, 0.732, 0.750)
Zn (0.460, 0.460, 0.257)
Zn (0.540, 0.540, 0.743)

Which of them is the most stable? Correct choice: two.

one:
Here is a geometry-optimized Tb4DyZn structure from the Alexandria database. Energies are from PBE.

Total magnetic moment (μB per cell): 0.00

a = 8.073 Å, b = 8.073 Å, c = 6.238 Å
α = 100.05°, β = 100.05°, γ = 113.90°
Fractional coordinates of all 12 atoms:
Tb (0.079, 0.714, 0.951)
Tb (0.164, 0.390, 0.624)
Tb (0.286, 0.921, 0.549)
Tb (0.390, 0.164, 0.124)
Tb (0.610, 0.836, 0.876)
Tb (0.714, 0.079, 0.451)
Tb (0.836, 0.610, 0.376)
Tb (0.921, 0.286, 0.049)
Dy (0.405, 0.595, 0.250)
Dy (0.595, 0.405, 0.750)
Zn (0.000, 0.000, 0.250)
Zn (0.000, 0.000, 0.750)

two:
Here is a geometry-optimized Tb4DyZn structure from the Alexandria database. Energies are from PBE.

Total magnetic moment (μB per cell): 0.00

a = 3.563 Å, b = 3.563 Å, c = 13.691 Å
α = 90.00°, β = 90.00°, γ = 90.00°
Fractional coordinates of all 6 atoms:
Tb (0.000, 0.000, 0.131)
Tb (0.000, 0.000, 0.869)
Tb (0.500, 0.500, 0.317)
Tb (0.500, 0.500, 0.683)
Dy (0.000, 0.000, 0.500)
Zn (0.500, 0.500, 0.000)

Which of them is the most stable? Correct choice: two.

one:
Here is a geometry-optimized Tb8Dy2Zr structure from the Alexandria database. Energies are from PBE.

Total magnetic moment (μB per cell): 0.00

a = 9.300 Å, b = 9.300 Å, c = 7.884 Å
α = 104.77°, β = 104.77°, γ = 30.99°
Fractional coordinates of all 11 atoms:
Tb (0.044, 0.044, 0.236)
Tb (0.132, 0.132, 0.675)
Tb (0.321, 0.321, 0.590)
Tb (0.411, 0.411, 0.056)
Tb (0.589, 0.589, 0.944)
Tb (0.679, 0.679, 0.410)
Tb (0.868, 0.868, 0.325)
Tb (0.956, 0.956, 0.764)
Dy (0.226, 0.226, 0.134)
Dy (0.774, 0.774, 0.866)
Zr (0.500, 0.500, 0.500)

two:
Here is a geometry-optimized Tb8Dy2Zr structure from the Alexandria database. Energies are from PBE.

Total magnetic moment (μB per cell): 0.00

a = 8.883 Å, b = 8.883 Å, c = 6.573 Å
α = 101.53°, β = 101.53°, γ = 43.21°
Fractional coordinates of all 11 atoms:
Tb (0.095, 0.095, 0.916)
Tb (0.164, 0.676, 0.614)
Tb (0.254, 0.254, 0.664)
Tb (0.324, 0.836, 0.386)
Tb (0.676, 0.164, 0.614)
Tb (0.746, 0.746, 0.336)
Tb (0.836, 0.324, 0.386)
Tb (0.905, 0.905, 0.084)
Dy (0.316, 0.316, 0.181)
Dy (0.684, 0.684, 0.819)
Zr (0.500, 0.500, 0.000)

Which of them is the most stable? Correct choice: one.

one:
Here is a geometry-optimized TbDyZr structure from the Alexandria database. Energies are from PBE.

Total magnetic moment (μB per cell): 0.00

a = 3.350 Å, b = 5.003 Å, c = 10.200 Å
α = 90.00°, β = 99.26°, γ = 90.00°
Fractional coordinates of all 6 atoms:
Tb (0.055, 0.250, 0.097)
Tb (0.945, 0.750, 0.903)
Dy (0.367, 0.250, 0.739)
Dy (0.633, 0.750, 0.261)
Zr (0.215, 0.250, 0.427)
Zr (0.785, 0.750, 0.573)

two:
Here is a geometry-optimized TbDyZr structure from the Alexandria database. Energies are from PBE.

Total magnetic moment (μB per cell): 0.00

a = 7.740 Å, b = 7.740 Å, c = 7.740 Å
α = 154.61°, β = 154.61°, γ = 36.21°
Fractional coordinates of all 3 atoms:
Tb (0.000, 0.000, 0.000)
Dy (0.687, 0.687, 0.000)
Zr (0.343, 0.343, 0.000)

Which of them is the most stable? Correct choice: two.

one:
Here is a geometry-optimized TbDyZr structure from the Alexandria database. Energies are from PBE.

Total magnetic moment (μB per cell): 0.65

a = 5.372 Å, b = 5.372 Å, c = 3.389 Å
α = 90.00°, β = 90.00°, γ = 120.00°
Fractional coordinates of all 3 atoms:
Tb (0.000, 0.000, 0.000)
Dy (0.333, 0.667, 0.500)
Zr (0.667, 0.333, 0.500)

two:
Here is a geometry-optimized TbDyZr structure from the Alexandria database. Energies are from PBE.

Total magnetic moment (μB per cell): 0.00

a = 4.669 Å, b = 4.669 Å, c = 8.257 Å
α = 90.00°, β = 90.00°, γ = 90.00°
Fractional coordinates of all 6 atoms:
Tb (0.250, 0.250, 0.212)
Tb (0.750, 0.750, 0.788)
Dy (0.250, 0.250, 0.786)
Dy (0.750, 0.750, 0.214)
Zr (0.250, 0.750, 0.500)
Zr (0.750, 0.250, 0.500)

Which of them is the most stable? Correct choice: one.